No. 1
UCoTc2P2: optimized geometry, PBE.

Output
- energy of formation (kJ/mol of atoms) = -50
- D(E_F) (states/eV/atom) = 0.9019
- final energy (Ha/atom) = -0.325
- calculated volume (Å³ per atom) = 14.59
- spin magnetization (μB per formula unit) = 1.1
- theoretical density (g/cm³) = 10.5

a = 4.007 Å, b = 7.614 Å, c = 5.739 Å
α = 90.00°, β = 90.00°, γ = 90.00°
Fractional coordinates of all 12 atoms:
1 U 0.000 0.080 0.000
2 U 0.000 0.920 0.500
3 Co 0.500 0.172 0.727
4 Co 0.500 0.828 0.227
5 Tc 0.000 0.306 0.447
6 Tc 0.000 0.694 0.947
7 Tc 0.500 0.436 0.106
8 Tc 0.500 0.564 0.606
9 P 0.000 0.405 0.832
10 P 0.000 0.595 0.332
11 P 0.500 0.166 0.331
12 P 0.500 0.834 0.831



No. 2
KSrTa: optimized geometry, PBE.

Output
- energy of formation (kJ/mol of atoms) = 70
- D(E_F) (states/eV/atom) = 0.9692
- final energy (Ha/atom) = -0.153
- polymorph energy (0 for the lowest one) (meV/atom) = 323
- calculated volume (Å³ per atom) = 39.84
- spin magnetization (μB per formula unit) = 0.0
- theoretical density (g/cm³) = 4.3

a = 3.522 Å, b = 6.315 Å, c = 11.481 Å
α = 77.13°, β = 83.32°, γ = 74.09°
Fractional coordinates of all 6 atoms:
1 K 0.211 0.290 0.378
2 K 0.789 0.710 0.622
3 Sr 0.492 0.140 0.842
4 Sr 0.508 0.860 0.158
5 Ta 0.204 0.635 0.941
6 Ta 0.796 0.365 0.059



No. 3
RePdRh3: optimized geometry, PBE.

Output
- energy of formation (kJ/mol of atoms) = 23
- D(E_F) (states/eV/atom) = 1.1710
- final energy (Ha/atom) = -0.283
- polymorph energy (0 for the lowest one) (meV/atom) = 0
- calculated volume (Å³ per atom) = 15.73
- spin magnetization (μB per formula unit) = 0.0
- theoretical density (g/cm³) = 12.7

a = 7.012 Å, b = 2.697 Å, c = 8.614 Å
α = 90.00°, β = 105.12°, γ = 90.00°
Fractional coordinates of all 10 atoms:
1 Re 0.234 0.000 0.431
2 Re 0.766 0.000 0.569
3 Pd 0.122 0.500 0.147
4 Pd 0.878 0.500 0.853
5 Rh 0.108 0.500 0.652
6 Rh 0.324 0.500 0.937
7 Rh 0.493 0.500 0.667
8 Rh 0.507 0.500 0.333
9 Rh 0.676 0.500 0.063
10 Rh 0.892 0.500 0.348



No. 4
NdTe2O6: optimized geometry, PBE.

Output
- D(E_F) (states/eV/atom) = 0.2917
- final energy (Ha/atom) = -0.226
- calculated volume (Å³ per atom) = 19.34
- spin magnetization (μB per formula unit) = 0.0
- ΔE_f (raw) (meV per atom) = -1614
- theoretical density (g/cm³) = 4.7

a = 7.212 Å, b = 7.212 Å, c = 7.895 Å
α = 112.07°, β = 112.07°, γ = 73.81°
Fractional coordinates of all 18 atoms:
1 Nd 0.078 0.922 0.750
2 Nd 0.922 0.078 0.250
3 Te 0.282 0.340 0.735
4 Te 0.340 0.282 0.235
5 Te 0.660 0.718 0.765
6 Te 0.718 0.660 0.265
7 O 0.071 0.179 0.604
8 O 0.123 0.594 0.740
9 O 0.179 0.071 0.104
10 O 0.298 0.369 0.009
11 O 0.369 0.298 0.509
12 O 0.406 0.877 0.760
13 O 0.594 0.123 0.240
14 O 0.631 0.702 0.491
15 O 0.702 0.631 0.991
16 O 0.821 0.929 0.896
17 O 0.877 0.406 0.260
18 O 0.929 0.821 0.396



No. 5
Ho2ZrSn: optimized geometry, PBE.

Output
- energy of formation (kJ/mol of atoms) = -32
- D(E_F) (states/eV/atom) = 1.3024
- final energy (Ha/atom) = -0.212
- polymorph energy (0 for the lowest one) (meV/atom) = 0
- calculated volume (Å³ per atom) = 25.39
- spin magnetization (μB per formula unit) = 0.0
- theoretical density (g/cm³) = 8.8

a = 4.665 Å, b = 4.665 Å, c = 4.667 Å
α = 90.00°, β = 90.00°, γ = 90.00°
Fractional coordinates of all 4 atoms:
1 Ho 0.000 0.500 0.000
2 Ho 0.500 0.000 0.000
3 Zr 0.000 0.000 0.500
4 Sn 0.500 0.500 0.500



No. 6
SiMoPt: optimized geometry, PBE.

Output
- D(E_F) (states/eV/atom) = 1.0003
- final energy (Ha/atom) = -0.269
- calculated volume (Å³ per atom) = 17.69
- spin magnetization (μB per formula unit) = 0.0
- ΔE_f (raw) (meV per atom) = 123
- theoretical density (g/cm³) = 10.0

a = 4.218 Å, b = 4.218 Å, c = 4.218 Å
α = 60.00°, β = 60.00°, γ = 60.00°
Fractional coordinates of all 3 atoms:
1 Si 0.000 0.000 0.000
2 Mo 0.250 0.250 0.250
3 Pt 0.500 0.500 0.500



No. 7
Zn2Te: optimized geometry, PBE.

Output
- D(E_F) (states/eV/atom) = 0.1664
- final energy (Ha/atom) = -0.069
- polymorph energy (0 for the lowest one) (meV/atom) = 150
- calculated volume (Å³ per atom) = 23.27
- spin magnetization (μB per formula unit) = 0.0
- ΔE_f (raw) (meV per atom) = 30
- theoretical density (g/cm³) = 6.1

a = 5.315 Å, b = 5.315 Å, c = 5.315 Å
α = 45.59°, β = 45.59°, γ = 45.59°
Fractional coordinates of all 3 atoms:
1 Zn 0.215 0.215 0.215
2 Zn 0.785 0.785 0.785
3 Te 0.000 0.000 0.000



No. 8
NdDy8Sc4: optimized geometry, PBE.

Output
- energy of formation (kJ/mol of atoms) = 23
- D(E_F) (states/eV/atom) = 1.2704
- final energy (Ha/atom) = -0.180
- calculated volume (Å³ per atom) = 29.82
- spin magnetization (μB per formula unit) = 0.0
- theoretical density (g/cm³) = 7.0

a = 9.770 Å, b = 9.770 Å, c = 9.770 Å
α = 42.65°, β = 42.65°, γ = 42.65°
Fractional coordinates of all 13 atoms:
1 Nd 0.000 0.000 0.000
2 Dy 0.252 0.252 0.704
3 Dy 0.252 0.704 0.252
4 Dy 0.281 0.281 0.281
5 Dy 0.296 0.748 0.748
6 Dy 0.704 0.252 0.252
7 Dy 0.719 0.719 0.719
8 Dy 0.748 0.296 0.748
9 Dy 0.748 0.748 0.296
10 Sc 0.000 0.000 0.500
11 Sc 0.000 0.500 0.000
12 Sc 0.500 0.000 0.000
13 Sc 0.500 0.500 0.500



No. 9
TbMg2AlAu2: optimized geometry, PBE.

Output
- energy of formation (kJ/mol of atoms) = -24
- D(E_F) (states/eV/atom) = 0.3803
- final energy (Ha/atom) = -0.120
- calculated volume (Å³ per atom) = 24.77
- spin magnetization (μB per formula unit) = 0.0
- theoretical density (g/cm³) = 7.0

a = 6.559 Å, b = 6.559 Å, c = 6.559 Å
α = 132.92°, β = 132.92°, γ = 68.79°
Fractional coordinates of all 6 atoms:
1 Tb 0.000 0.000 0.000
2 Mg 0.250 0.750 0.500
3 Mg 0.750 0.250 0.500
4 Al 0.500 0.500 0.000
5 Au 0.273 0.273 0.000
6 Au 0.727 0.727 0.000



No. 10
LaGaSn2: optimized geometry, PBE.

Output
- energy of formation (kJ/mol of atoms) = 7
- D(E_F) (states/eV/atom) = 0.9183
- final energy (Ha/atom) = -0.144
- calculated volume (Å³ per atom) = 28.87
- spin magnetization (μB per formula unit) = 0.0
- theoretical density (g/cm³) = 6.4

a = 11.082 Å, b = 11.082 Å, c = 11.082 Å
α = 18.16°, β = 18.16°, γ = 18.16°
Fractional coordinates of all 4 atoms:
1 La 0.000 0.000 0.000
2 Ga 0.500 0.500 0.500
3 Sn 0.100 0.100 0.100
4 Sn 0.900 0.900 0.900



No. 11
RbRuRh2: optimized geometry, PBE.

Output
- energy of formation (kJ/mol of atoms) = 125
- D(E_F) (states/eV/atom) = 1.8113
- final energy (Ha/atom) = -0.182
- polymorph energy (0 for the lowest one) (meV/atom) = 176
- calculated volume (Å³ per atom) = 18.43
- spin magnetization (μB per formula unit) = 3.7
- theoretical density (g/cm³) = 8.8

a = 4.706 Å, b = 4.706 Å, c = 4.706 Å
α = 60.00°, β = 60.00°, γ = 60.00°
Fractional coordinates of all 4 atoms:
1 Rb 0.000 0.000 0.000
2 Ru 0.500 0.500 0.500
3 Rh 0.250 0.250 0.250
4 Rh 0.750 0.750 0.750



No. 12
CdPbS2Cl: optimized geometry, PBE.

Output
- D(E_F) (states/eV/atom) = 0.5343
- final energy (Ha/atom) = -0.114
- polymorph energy (0 for the lowest one) (meV/atom) = 0
- calculated volume (Å³ per atom) = 25.89
- spin magnetization (μB per formula unit) = 0.0
- ΔE_f (raw) (meV per atom) = -164
- theoretical density (g/cm³) = 5.4

a = 4.999 Å, b = 4.999 Å, c = 5.181 Å
α = 90.00°, β = 90.00°, γ = 90.00°
Fractional coordinates of all 5 atoms:
1 Cd 0.000 0.000 0.000
2 Pb 0.500 0.500 0.500
3 S 0.000 0.500 0.000
4 S 0.500 0.000 0.000
5 Cl 0.000 0.000 0.500



No. 13
Si2HgRu: optimized geometry, PBE.

Output
- D(E_F) (states/eV/atom) = 0.2220
- final energy (Ha/atom) = -0.186
- calculated volume (Å³ per atom) = 16.69
- spin magnetization (μB per formula unit) = 0.0
- ΔE_f (raw) (meV per atom) = 35
- theoretical density (g/cm³) = 8.9

a = 8.435 Å, b = 8.435 Å, c = 8.435 Å
α = 20.88°, β = 20.88°, γ = 20.88°
Fractional coordinates of all 4 atoms:
1 Si 0.236 0.236 0.236
2 Si 0.764 0.764 0.764
3 Hg 0.000 0.000 0.000
4 Ru 0.500 0.500 0.500



No. 14
SrRe4Ag: optimized geometry, PBE.

Output
- energy of formation (kJ/mol of atoms) = 66
- D(E_F) (states/eV/atom) = 0.8729
- final energy (Ha/atom) = -0.308
- calculated volume (Å³ per atom) = 18.48
- spin magnetization (μB per formula unit) = 0.0
- theoretical density (g/cm³) = 14.1

a = 5.392 Å, b = 5.392 Å, c = 5.392 Å
α = 60.00°, β = 60.00°, γ = 60.00°
Fractional coordinates of all 6 atoms:
1 Sr 0.000 0.000 0.000
2 Re 0.376 0.376 0.376
3 Re 0.376 0.376 0.872
4 Re 0.376 0.872 0.376
5 Re 0.872 0.376 0.376
6 Ag 0.750 0.750 0.750



No. 15
NaNdTlSn: optimized geometry, PBE.

Output
- energy of formation (kJ/mol of atoms) = -37
- D(E_F) (states/eV/atom) = 0.5829
- final energy (Ha/atom) = -0.129
- polymorph energy (0 for the lowest one) (meV/atom) = 0
- calculated volume (Å³ per atom) = 27.98
- spin magnetization (μB per formula unit) = 0.0
- theoretical density (g/cm³) = 7.3

a = 4.392 Å, b = 4.893 Å, c = 5.209 Å
α = 90.00°, β = 90.00°, γ = 90.00°
Fractional coordinates of all 4 atoms:
1 Na 0.000 0.000 0.000
2 Nd 0.000 0.500 0.500
3 Tl 0.500 0.500 0.000
4 Sn 0.500 0.000 0.500



No. 16
PmCrGe: optimized geometry, PBE.

Output
- energy of formation (kJ/mol of atoms) = 21
- D(E_F) (states/eV/atom) = 0.9521
- final energy (Ha/atom) = -0.225
- calculated volume (Å³ per atom) = 22.82
- spin magnetization (μB per formula unit) = 3.3
- theoretical density (g/cm³) = 6.5

a = 11.479 Å, b = 3.977 Å, c = 3.977 Å
α = 48.97°, β = 90.00°, γ = 90.00°
Fractional coordinates of all 6 atoms:
1 Pm 0.186 0.000 0.000
2 Pm 0.814 0.000 0.000
3 Cr 0.377 0.295 0.295
4 Cr 0.623 0.295 0.295
5 Ge 0.000 0.706 0.706
6 Ge 0.500 0.995 0.995



No. 17
NaPb5Au3: optimized geometry, PBE.

Output
- energy of formation (kJ/mol of atoms) = 0
- D(E_F) (states/eV/atom) = 0.4223
- final energy (Ha/atom) = -0.121
- calculated volume (Å³ per atom) = 30.32
- spin magnetization (μB per formula unit) = 0.0
- theoretical density (g/cm³) = 10.0

a = 7.893 Å, b = 7.893 Å, c = 10.505 Å
α = 113.58°, β = 113.58°, γ = 74.92°
Fractional coordinates of all 18 atoms:
1 Na 0.229 0.229 0.290
2 Na 0.771 0.771 0.710
3 Pb 0.184 0.636 0.603
4 Pb 0.199 0.199 0.944
5 Pb 0.250 0.250 0.669
6 Pb 0.308 0.692 0.000
7 Pb 0.364 0.816 0.397
8 Pb 0.636 0.184 0.603
9 Pb 0.692 0.308 0.000
10 Pb 0.750 0.750 0.331
11 Pb 0.801 0.801 0.056
12 Pb 0.816 0.364 0.397
13 Au 0.000 0.000 0.000
14 Au 0.000 0.000 0.359
15 Au 0.000 0.000 0.641
16 Au 0.442 0.442 0.187
17 Au 0.500 0.500 0.500
18 Au 0.558 0.558 0.813



No. 18
Y4TlB3Rh12: optimized geometry, PBE.

Output
- energy of formation (kJ/mol of atoms) = -44
- D(E_F) (states/eV/atom) = 0.9405
- final energy (Ha/atom) = -0.267
- calculated volume (Å³ per atom) = 16.89
- spin magnetization (μB per formula unit) = 0.0
- theoretical density (g/cm³) = 9.0

a = 7.599 Å, b = 7.599 Å, c = 7.599 Å
α = 109.47°, β = 109.47°, γ = 109.47°
Fractional coordinates of all 20 atoms:
1 Y 0.000 0.000 0.500
2 Y 0.000 0.500 0.000
3 Y 0.500 0.000 0.000
4 Y 0.500 0.500 0.500
5 Tl 0.000 0.000 0.000
6 B 0.000 0.500 0.500
7 B 0.500 0.000 0.500
8 B 0.500 0.500 0.000
9 Rh 0.000 0.283 0.283
10 Rh 0.000 0.717 0.717
11 Rh 0.250 0.500 0.750
12 Rh 0.250 0.750 0.500
13 Rh 0.283 0.000 0.283
14 Rh 0.283 0.283 0.000
15 Rh 0.500 0.250 0.750
16 Rh 0.500 0.750 0.250
17 Rh 0.717 0.000 0.717
18 Rh 0.717 0.717 0.000
19 Rh 0.750 0.250 0.500
20 Rh 0.750 0.500 0.250



No. 19
TcSbSN2: optimized geometry, PBE.

Output
- D(E_F) (states/eV/atom) = 0.3276
- final energy (Ha/atom) = -0.202
- polymorph energy (0 for the lowest one) (meV/atom) = 954
- calculated volume (Å³ per atom) = 16.89
- spin magnetization (μB per formula unit) = 5.0
- ΔE_f (raw) (meV per atom) = 1560
- theoretical density (g/cm³) = 5.5

a = 3.950 Å, b = 3.950 Å, c = 5.411 Å
α = 90.00°, β = 90.00°, γ = 90.00°
Fractional coordinates of all 5 atoms:
1 Tc 0.000 0.000 0.000
2 Sb 0.500 0.500 0.500
3 S 0.500 0.500 0.000
4 N 0.000 0.500 0.500
5 N 0.500 0.000 0.500



No. 20
CdIn3Hg: optimized geometry, PBE.

Output
- energy of formation (kJ/mol of atoms) = 3
- D(E_F) (states/eV/atom) = 0.3674
- final energy (Ha/atom) = -0.068
- polymorph energy (0 for the lowest one) (meV/atom) = 8
- calculated volume (Å³ per atom) = 26.41
- spin magnetization (μB per formula unit) = 0.0
- theoretical density (g/cm³) = 8.3

a = 7.465 Å, b = 8.517 Å, c = 9.890 Å
α = 90.00°, β = 122.84°, γ = 90.00°
Fractional coordinates of all 20 atoms:
1 Cd 0.151 0.218 0.120
2 Cd 0.151 0.282 0.620
3 Cd 0.849 0.718 0.380
4 Cd 0.849 0.782 0.880
5 In 0.078 0.601 0.751
6 In 0.078 0.899 0.251
7 In 0.257 0.584 0.169
8 In 0.257 0.916 0.669
9 In 0.415 0.174 0.489
10 In 0.415 0.326 0.989
11 In 0.585 0.674 0.011
12 In 0.585 0.826 0.511
13 In 0.743 0.084 0.331
14 In 0.743 0.416 0.831
15 In 0.922 0.101 0.749
16 In 0.922 0.399 0.249
17 Hg 0.327 0.575 0.551
18 Hg 0.327 0.925 0.051
19 Hg 0.673 0.075 0.949
20 Hg 0.673 0.425 0.449